DFT (PBE) results for an optimized crystal structure of CeHgPO6.

Unit cell a=5.0444 b=10.3387 c=5.3079 alpha=90.00 beta=103.79 gamma=90.00
Last column: nearest neighbours and their distance in Å.
Space group C2 (No. 5)
Asymmetric unit:
Ce 0.0000 0.0000 0.0000 [2 per cell]  6 O 2.21-2.31
Hg 0.0000 0.2796 0.5000 [2 per cell]  2 O 2.07
P 0.0000 0.6744 0.0000 [2 per cell]  6 O 1.68-1.78
O 0.1740 0.8062 0.1849 [4 per cell]  1 P 1.78
O 0.1873 0.5633 0.2024 [4 per cell]  1 P 1.70
O 0.2322 0.6710 0.8192 [4 per cell]  1 P 1.68

Computed properties:
- Volume: 134 Å³/f.u.
- Uncorrected formation energy: -165.4 kJ/mol of atoms
- Total magnetic moment: 2.07 Bohr magnetons per cell



DFT (PBE) results for an optimized crystal structure of La2Cd2Si.

Unit cell a=7.7517 b=7.7517 c=5.0199 alpha=90.00 beta=90.00 gamma=90.00
Last column: nearest neighbours and their distance in Å.
Space group P4/mbm (No. 127)
Asymmetric unit:
La 0.1417 0.3583 0.0000 [4 per cell]  2 Si 2.99, 1 La 3.11, 2 Cd 3.33
Cd 0.1583 0.6583 0.5000 [4 per cell]  6 La 3.33-3.42, 1 Cd 3.47
Si 0.0000 0.0000 0.0000 [2 per cell]  4 La 2.99

Computed properties:
- Volume: 151 Å³/f.u.
- Uncorrected formation energy: -4.5 kJ/mol of atoms
- Total magnetic moment: 0.00 Bohr magnetons per cell
- ΔE to the lowest computed polymorph: 0.96 eV/f.u.



DFT (PBE) results for an optimized crystal structure of Hf2P2Pb.

Unit cell a=7.5629 b=7.5629 c=3.3908 alpha=90.00 beta=90.00 gamma=90.00
Last column: nearest neighbours and their distance in Å.
Space group P4/mbm (No. 127)
Asymmetric unit:
Hf 0.1463 0.3537 0.0000 [4 per cell]  6 P 2.73-2.87
P 0.1366 0.6366 0.5000 [4 per cell]  6 Hf 2.73-2.87, 1 P 2.92, 2 Pb 2.94
Pb 0.0000 0.0000 0.5000 [2 per cell]  4 P 2.94

Computed properties:
- Volume: 97 Å³/f.u.
- Total magnetic moment: 0.00 Bohr magnetons per cell
- Formation energy: -0.500 eV/atom



DFT (PBE) results for an optimized crystal structure of CsGeTe.

Unit cell a=18.7826 b=4.5131 c=6.3079 alpha=90.00 beta=105.44 gamma=90.00
Last column: nearest neighbours and their distance in Å.
Space group C2/m (No. 12)
Asymmetric unit:
Cs 0.1001 0.0000 0.3412 [4 per cell]  6 Te 3.86-4.01, 1 Ge 4.01
Ge 0.2244 0.5000 0.9074 [4 per cell]  1 Te 2.58, 2 Ge 2.60
Te 0.0828 0.5000 0.8344 [4 per cell]  1 Ge 2.58

Computed properties:
- Volume: 129 Å³/f.u.
- Uncorrected formation energy: -45.1 kJ/mol of atoms
- Total magnetic moment: 0.00 Bohr magnetons per cell
- ΔE to the lowest computed polymorph: 0.00 eV/f.u.



DFT (PBE) results for an optimized crystal structure of SmPuFe2.

Unit cell a=4.8210 b=4.8210 c=3.3425 alpha=90.00 beta=90.00 gamma=90.00
Last column: nearest neighbours and their distance in Å.
Space group P4/mmm (No. 123)
Asymmetric unit:
Sm 0.0000 0.0000 0.0000 [1 per cell]  8 Fe 2.93
Pu 0.5000 0.5000 0.0000 [1 per cell]  8 Fe 2.93
Fe 0.0000 0.5000 0.5000 [2 per cell]  4 Sm 2.93, 4 Pu 2.93

Computed properties:
- Volume: 78 Å³/f.u.
- Total magnetic moment: 1.98 Bohr magnetons per cell
- Formation energy: 0.177 eV/atom



DFT (PBE) results for an optimized crystal structure of HoSn2Sb.

Unit cell a=3.4052 b=3.4052 c=35.1448 alpha=90.00 beta=90.00 gamma=120.00
Last column: nearest neighbours and their distance in Å.
Space group R-3m (No. 166, hexagonal axes)
Asymmetric unit:
Ho 0.0000 0.0000 0.0000 [3 per cell]  2 Sn 3.11, 6 Ho 3.41
Sn 0.0000 0.0000 0.0886 [6 per cell]  1 Ho 3.11, 3 Sb 3.38, 6 Sn 3.41
Sb 0.0000 0.0000 0.5000 [3 per cell]  6 Sn 3.38, 6 Sb 3.41

Computed properties:
- Volume: 118 Å³/f.u.
- Uncorrected formation energy: 17.9 kJ/mol of atoms
- Total magnetic moment: 0.00 Bohr magnetons per cell
- ΔE to the lowest computed polymorph: 2.32 eV/f.u.



DFT (PBE) results for an optimized crystal structure of K2CoSb.

Unit cell a=7.6777 b=4.4332 c=9.7739 alpha=90.00 beta=104.49 gamma=90.00
Last column: nearest neighbours and their distance in Å.
Space group Cm (No. 8)
Asymmetric unit:
K 0.0000 0.0000 0.0000 [2 per cell]  3 Sb 3.53, 3 Co 3.53
K 0.1639 0.0000 0.5146 [2 per cell]  3 Co 3.53, 3 Sb 3.53-3.54
Co 0.2487 0.5000 0.2574 [2 per cell]  3 Sb 2.56
Sb 0.4153 0.0000 0.2570 [2 per cell]  3 Co 2.56

Computed properties:
- Volume: 161 Å³/f.u.
- Uncorrected formation energy: 4.6 kJ/mol of atoms
- Total magnetic moment: 3.62 Bohr magnetons per cell



DFT (PBE) results for an optimized crystal structure of Li2Tl3Hg5.

Unit cell a=11.9158 b=11.9158 c=3.5832 alpha=90.00 beta=90.00 gamma=90.00
Last column: nearest neighbours and their distance in Å.
Space group P4/mbm (No. 127)
Asymmetric unit:
Li 0.1275 0.3725 0.0000 [4 per cell]  6 Hg 2.75-2.80
Tl 0.0000 0.0000 0.0000 [2 per cell]  8 Hg 3.18
Tl 0.1776 0.6776 0.0000 [4 per cell]  1 Li 3.28, 6 Hg 3.49-3.53, 2 Tl 3.58
Hg 0.0000 0.5000 0.5000 [2 per cell]  4 Li 2.80
Hg 0.0529 0.2139 0.5000 [8 per cell]  2 Li 2.75

Computed properties:
- Volume: 254 Å³/f.u.
- Total magnetic moment: 0.00 Bohr magnetons per cell
- Formation energy: -0.112 eV/atom



DFT (PBE) results for an optimized crystal structure of Na2TaNbTl.

Unit cell a=5.7943 b=5.7943 c=4.7921 alpha=90.00 beta=90.00 gamma=90.00
Last column: nearest neighbours and their distance in Å.
Space group P4/mmm (No. 123)
Asymmetric unit:
Na 0.0000 0.5000 0.0000 [2 per cell]  2 Ta 2.90
Ta 0.0000 0.0000 0.0000 [1 per cell]  2 Nb 2.40
Nb 0.0000 0.0000 0.5000 [1 per cell]  2 Ta 2.40
Tl 0.5000 0.5000 0.5000 [1 per cell]  8 Na 3.76, 4 Nb 4.10

Computed properties:
- Volume: 161 Å³/f.u.
- Total magnetic moment: 0.00 Bohr magnetons per cell
- Formation energy: 1.360 eV/atom



DFT (PBE) results for an optimized crystal structure of KSi3Cl.

Unit cell a=5.0219 b=5.0219 c=5.0219 alpha=90.00 beta=90.00 gamma=90.00
Last column: nearest neighbours and their distance in Å.
Space group Pm-3m (No. 221)
Asymmetric unit:
K 0.0000 0.0000 0.0000 [1 per cell]  12 Si 3.55
Si 0.0000 0.5000 0.5000 [3 per cell]  2 Cl 2.51
Cl 0.5000 0.5000 0.5000 [1 per cell]  6 Si 2.51

Computed properties:
- Volume: 127 Å³/f.u.
- Uncorrected formation energy: 91.3 kJ/mol of atoms
- Total magnetic moment: 0.00 Bohr magnetons per cell
- ΔE to the lowest computed polymorph: 0.00 eV/f.u.



DFT (PBE) results for an optimized crystal structure of Tb2PrSmTm.

Unit cell a=8.4400 b=11.5737 c=7.1908 alpha=90.00 beta=90.00 gamma=90.00
Last column: nearest neighbours and their distance in Å.
Space group Cmcm (No. 63)
Asymmetric unit:
Tb 0.1879 0.0000 0.0000 [8 per cell]  1 Tb 3.17, 2 Sm 3.19, 2 Tm 3.51
Pr 0.0000 0.2297 0.2500 [4 per cell]  1 Sm 3.10
Sm 0.0000 0.4980 0.2500 [4 per cell]  1 Pr 3.10, 4 Tb 3.19, 1 Tm 3.24
Tm 0.0000 0.2221 0.7500 [4 per cell]  1 Sm 3.24, 4 Tb 3.51, 2 Pr 3.60

Computed properties:
- Volume: 176 Å³/f.u.
- Total magnetic moment: 0.01 Bohr magnetons per cell
- Formation energy: 0.388 eV/atom



DFT (PBE) results for an optimized crystal structure of Pr6HoEr12.

Unit cell a=13.2479 b=13.2479 c=12.6345 alpha=90.00 beta=90.00 gamma=120.00
Last column: nearest neighbours and their distance in Å.
Space group R-3m (No. 166, hexagonal axes)
Asymmetric unit:
Pr 0.0391 0.5195 0.1172 [18 per cell]  1 Pr 3.10, 1 Ho 3.43
Ho 0.0000 0.0000 0.5000 [3 per cell]  6 Pr 3.43
Er 0.0000 0.2557 0.0000 [18 per cell]  6 Er 3.35-3.53, 4 Pr 3.48-3.59
Er 0.0914 0.1827 0.7638 [18 per cell]  6 Er 3.35-3.63, 2 Pr 3.71

Computed properties:
- Volume: 640 Å³/f.u.
- Total magnetic moment: 0.00 Bohr magnetons per cell
- Formation energy: 0.221 eV/atom
- ΔE to the lowest computed polymorph: 1.77 eV/f.u.



no.,density (g/cm³),VASP energy (eV/f.u.),Fermi-level density of states (states/eV per cell)
1,5.8,-56.82,5.40
2,5.8,-17.34,3.84
3,10.7,-36.93,8.00
4,4.3,-10.02,4.00
5,10.8,-35.27,7.40
6,7.4,-15.96,9.11
7,2.7,-13.23,14.57
8,10.6,-13.55,5.79
9,5.4,-20.13,6.78
10,2.1,-14.48,1.89
11,7.4,-21.29,33.87
12,7.8,-83.81,89.75